The following is a DFT calculation (PBE-GGA) of crystalline HoGe6Se8 at its relaxed geometry.

Summary:
theoretical density	5.0	g/cm3
VASP energy	-4.4460	eV/atom

CIF file:
```
data_HoGe6Se8
_cell_length_a 9.4760
_cell_length_b 9.4760
_cell_length_c 15.8444
_cell_angle_alpha 90.00
_cell_angle_beta 90.00
_cell_angle_gamma 120.00
_space_group_name_H-M_alt 'R -3'
_space_group_IT_number 148
_space_group_name_Hall '-R 3'
loop_
_atom_site_label
_atom_site_type_symbol
_atom_site_fract_x
_atom_site_fract_y
_atom_site_fract_z
_atom_site_occupancy
Ho1 Ho 0.0000 0.0000 0.0000 1
Ge1 Ge 0.0000 0.2378 0.3619 1
Se1 Se 0.0000 0.0000 0.2802 1
Se2 Se 0.0458 0.7664 0.0939 1
```

=====

The following is a DFT calculation (PBE-GGA) of crystalline Ho3Ge2Se at its relaxed geometry.

Summary:
theoretical density	8.1	g/cm3
VASP energy	-5.5542	eV/atom

CIF file:
```
data_Ho3Ge2Se
_cell_length_a 4.107
_cell_length_b 4.107
_cell_length_c 17.431
_cell_angle_alpha 90.00
_cell_angle_beta 90.00
_cell_angle_gamma 90.00
_space_group_name_H-M_alt 'I 4/m m m'
_space_group_IT_number 139
_space_group_name_Hall '-I 4 2'
loop_
_atom_site_label
_atom_site_type_symbol
_atom_site_fract_x
_atom_site_fract_y
_atom_site_fract_z
_atom_site_occupancy
Ho1 Ho 0.000 0.000 0.000 1
Ho2 Ho 0.000 0.000 0.333 1
Ge1 Ge 0.000 0.000 0.164 1
Se1 Se 0.000 0.000 0.500 1
```

=====

The following is a DFT calculation (PBE-GGA) of crystalline HoGe2Se6 at its relaxed geometry.

Summary:
theoretical density	5.3	g/cm3
VASP energy	-4.4106	eV/atom

CIF file:
```
data_HoGe2Se6
_cell_length_a 12.501
_cell_length_b 12.056
_cell_length_c 6.656
_cell_angle_alpha 90.00
_cell_angle_beta 99.25
_cell_angle_gamma 90.00
_space_group_name_H-M_alt 'C 1 2/c 1'
_space_group_IT_number 15
loop_
_space_group_symop_operation_xyz
'x,y,z'
'-x,-y,-z'
'-x,y,-z+1/2'
'x,-y,z+1/2'
'x+1/2,y+1/2,z'
'-x+1/2,-y+1/2,-z'
'-x+1/2,y+1/2,-z+1/2'
'x+1/2,-y+1/2,z+1/2'
loop_
_atom_site_label
_atom_site_type_symbol
_atom_site_fract_x
_atom_site_fract_y
_atom_site_fract_z
_atom_site_occupancy
Ho1 Ho 0.000 0.112 0.250 1
Ge1 Ge 0.193 0.424 0.302 1
Se1 Se 0.112 0.088 0.660 1
Se2 Se 0.128 0.273 0.088 1
Se3 Se 0.128 0.406 0.624 1
```

=====

The following is a DFT calculation (PBE-GGA) of crystalline Ho3GeSe6 at its relaxed geometry.

Summary:
theoretical density	6.5	g/cm3
VASP energy	-5.3317	eV/atom

CIF file:
```
data_Ho3GeSe6
_cell_length_a 11.139
_cell_length_b 13.890
_cell_length_c 6.859
_cell_angle_alpha 90.00
_cell_angle_beta 90.00
_cell_angle_gamma 90.00
_space_group_name_H-M_alt 'C m c 21'
_space_group_IT_number 36
loop_
_space_group_symop_operation_xyz
'x,y,z'
'-x,-y,z+1/2'
'-x,y,z'
'x,-y,z+1/2'
'x+1/2,y+1/2,z'
'-x+1/2,-y+1/2,z+1/2'
'-x+1/2,y+1/2,z'
'x+1/2,-y+1/2,z+1/2'
loop_
_atom_site_label
_atom_site_type_symbol
_atom_site_fract_x
_atom_site_fract_y
_atom_site_fract_z
_atom_site_occupancy
Ho1 Ho 0.000 0.096 0.000 1
Ho2 Ho 0.185 0.402 0.907 1
Ge1 Ge 0.000 0.299 0.366 1
Se1 Se 0.000 0.281 0.747 1
Se2 Se 0.000 0.466 0.208 1
Se3 Se 0.162 0.033 0.705 1
Se4 Se 0.173 0.231 0.176 1
```

=====

The following is a DFT calculation (PBE-GGA) of crystalline Ho8GeSe6 at its relaxed geometry.

Summary:
theoretical density	8.3	g/cm3
VASP energy	-5.4184	eV/atom

CIF file:
```
data_Ho8GeSe6
_cell_length_a 10.3739
_cell_length_b 10.3739
_cell_length_c 4.0280
_cell_angle_alpha 90.00
_cell_angle_beta 90.00
_cell_angle_gamma 120.00
_space_group_name_H-M_alt 'P -3'
_space_group_IT_number 147
loop_
_space_group_symop_operation_xyz
'x,y,z'
'-x,-y,-z'
'-y,x-y,z'
'y,-x+y,-z'
'-x+y,-x,z'
'x-y,x,-z'
loop_
_atom_site_label
_atom_site_type_symbol
_atom_site_fract_x
_atom_site_fract_y
_atom_site_fract_z
_atom_site_occupancy
Ho1 Ho 0.0315 0.3067 0.2447 1
Ho2 Ho 0.3333 0.6667 0.7526 1
Ge1 Ge 0.0000 0.0000 0.0000 1
Se1 Se 0.1294 0.6494 0.2504 1
```

=====

The following is a DFT calculation (PBE-GGA) of crystalline Ho4GeSe3 at its relaxed geometry.

Summary:
theoretical density	8.3	g/cm3
VASP energy	-5.7725	eV/atom

CIF file:
```
data_Ho4GeSe3
_cell_length_a 8.185
_cell_length_b 11.570
_cell_length_c 4.084
_cell_angle_alpha 90.00
_cell_angle_beta 90.00
_cell_angle_gamma 90.00
_space_group_name_H-M_alt 'C m m m'
_space_group_IT_number 65
_space_group_name_Hall '-C 2 2'
loop_
_atom_site_label
_atom_site_type_symbol
_atom_site_fract_x
_atom_site_fract_y
_atom_site_fract_z
_atom_site_occupancy
Ho1 Ho 0.000 0.243 0.000 1
Ho2 Ho 0.239 0.000 0.500 1
Ge1 Ge 0.000 0.000 0.000 1
Se1 Se 0.000 0.500 0.000 1
Se2 Se 0.250 0.250 0.500 1
```

=====

The following is a DFT calculation (PBE-GGA) of crystalline Ho5Ge2Se2 at its relaxed geometry.

Summary:
theoretical density	8.8	g/cm3
VASP energy	-5.5143	eV/atom

CIF file:
```
data_Ho5Ge2Se2
_cell_length_a 14.501
_cell_length_b 7.607
_cell_length_c 7.693
_cell_angle_alpha 90.00
_cell_angle_beta 90.00
_cell_angle_gamma 90.00
_space_group_name_H-M_alt 'C m c e'
_space_group_IT_number 64
_space_group_name_Hall '-C 2ac 2'
loop_
_atom_site_label
_atom_site_type_symbol
_atom_site_fract_x
_atom_site_fract_y
_atom_site_fract_z
_atom_site_occupancy
Ho1 Ho 0.000 0.000 0.000 1
Ho2 Ho 0.134 0.164 0.339 1
Ge1 Ge 0.000 0.139 0.638 1
Se1 Se 0.200 0.000 0.000 1
```

=====

The following is a DFT calculation (PBE-GGA) of crystalline Ho5GeSe5 at its relaxed geometry.

Summary:
theoretical density	7.5	g/cm3
VASP energy	-5.8039	eV/atom

CIF file:
```
data_Ho5GeSe5
_cell_length_a 12.916
_cell_length_b 5.746
_cell_length_c 8.132
_cell_angle_alpha 90.00
_cell_angle_beta 108.36
_cell_angle_gamma 90.00
_space_group_name_H-M_alt 'C 1 2/m 1'
_space_group_IT_number 12
loop_
_space_group_symop_operation_xyz
'x,y,z'
'-x,-y,-z'
'-x,y,-z'
'x,-y,z'
'x+1/2,y+1/2,z'
'-x+1/2,-y+1/2,-z'
'-x+1/2,y+1/2,-z'
'x+1/2,-y+1/2,z'
loop_
_atom_site_label
_atom_site_type_symbol
_atom_site_fract_x
_atom_site_fract_y
_atom_site_fract_z
_atom_site_occupancy
Ho1 Ho 0.000 0.000 0.000 1
Ho2 Ho 0.160 0.500 0.829 1
Ho3 Ho 0.162 0.500 0.330 1
Ge1 Ge 0.000 0.500 0.000 1
Se1 Se 0.000 0.500 0.500 1
Se2 Se 0.169 0.000 0.836 1
Se3 Se 0.170 0.000 0.335 1
```

=====

The following is a DFT calculation (PBE-GGA) of crystalline HoGeSe4 at its relaxed geometry.

Summary:
theoretical density	5.5	g/cm3
VASP energy	-4.5909	eV/atom

CIF file:
```
data_HoGeSe4
_cell_length_a 9.443
_cell_length_b 7.549
_cell_length_c 9.360
_cell_angle_alpha 90.00
_cell_angle_beta 90.00
_cell_angle_gamma 90.00
_space_group_name_H-M_alt 'C m c m'
_space_group_IT_number 63
_space_group_name_Hall '-C 2c 2'
loop_
_atom_site_label
_atom_site_type_symbol
_atom_site_fract_x
_atom_site_fract_y
_atom_site_fract_z
_atom_site_occupancy
Ho1 Ho 0.000 0.126 0.250 1
Ge1 Ge 0.000 0.402 0.750 1
Se1 Se 0.000 0.180 0.562 1
Se2 Se 0.204 0.417 0.250 1
```

=====

The following is a DFT calculation (PBE-GGA) of crystalline Ho2GeSe4 at its relaxed geometry.

Summary:
theoretical density	4.9	g/cm3
VASP energy	-5.0627	eV/atom

CIF file:
```
data_Ho2GeSe4
_cell_length_a 6.278
_cell_length_b 6.278
_cell_length_c 12.410
_cell_angle_alpha 90.00
_cell_angle_beta 90.00
_cell_angle_gamma 90.00
_space_group_name_H-M_alt 'I -4 2 m'
_space_group_IT_number 121
_space_group_name_Hall 'I -4 2'
loop_
_atom_site_label
_atom_site_type_symbol
_atom_site_fract_x
_atom_site_fract_y
_atom_site_fract_z
_atom_site_occupancy
Ho1 Ho 0.000 0.500 0.250 1
Ge1 Ge 0.000 0.000 0.000 1
Se1 Se 0.245 0.245 0.622 1
```

=====

The following is a DFT calculation (PBE-GGA) of crystalline Ho3GeSe at its relaxed geometry.

Summary:
theoretical density	7.8	g/cm3
VASP energy	-5.3214	eV/atom

CIF file:
```
data_Ho3GeSe
_cell_length_a 4.100
_cell_length_b 19.575
_cell_length_c 6.824
_cell_angle_alpha 90.00
_cell_angle_beta 90.00
_cell_angle_gamma 90.00
_space_group_name_H-M_alt 'A m a 2'
_space_group_IT_number 40
loop_
_space_group_symop_operation_xyz
'x,y,z'
'-x,-y,z'
'-x+1/2,y,z'
'x+1/2,-y,z'
'x,y+1/2,z+1/2'
'-x,-y+1/2,z+1/2'
'-x+1/2,y+1/2,z+1/2'
'x+1/2,-y+1/2,z+1/2'
loop_
_atom_site_label
_atom_site_type_symbol
_atom_site_fract_x
_atom_site_fract_y
_atom_site_fract_z
_atom_site_occupancy
Ho1 Ho 0.250 0.079 0.000 1
Ho2 Ho 0.250 0.251 0.335 1
Ho3 Ho 0.250 0.420 0.020 1
Ge1 Ge 0.250 0.162 0.671 1
Se1 Se 0.250 0.341 0.672 1
```

=====

The following is a DFT calculation (PBE-GGA) of crystalline HoGe2Se4 at its relaxed geometry.

Summary:
theoretical density	5.2	g/cm3
VASP energy	-4.4628	eV/atom

CIF file:
```
data_HoGe2Se4
_cell_length_a 7.635
_cell_length_b 7.635
_cell_length_c 6.827
_cell_angle_alpha 90.00
_cell_angle_beta 90.00
_cell_angle_gamma 90.00
_space_group_name_H-M_alt 'I 4/m'
_space_group_IT_number 87
_space_group_name_Hall '-I 4'
loop_
_atom_site_label
_atom_site_type_symbol
_atom_site_fract_x
_atom_site_fract_y
_atom_site_fract_z
_atom_site_occupancy
Ho1 Ho 0.000 0.000 0.000 1
Ge1 Ge 0.000 0.500 0.250 1
Se1 Se 0.185 0.310 0.500 1
```